## NbPb2Se2BrO8 (PBE)

Data for an optimized crystal structure of NbPb2Se2BrO8.

Cell and atoms, written as CIF:
```
data_NbPb2Se2BrO8
_cell_length_a 8.5095
_cell_length_b 5.4575
_cell_length_c 10.7507
_cell_angle_alpha 90.00
_cell_angle_beta 111.65
_cell_angle_gamma 90.00
_space_group_name_H-M_alt 'P 1 21 1'
_space_group_IT_number 4
loop_
_space_group_symop_operation_xyz
'x,y,z'
'-x,y+1/2,-z'
loop_
_atom_site_label
_atom_site_type_symbol
_atom_site_fract_x
_atom_site_fract_y
_atom_site_fract_z
Nb1 Nb 0.1601 0.0000 0.0664
Pb1 Pb 0.1945 0.9949 0.4777
Pb2 Pb 0.3152 0.5394 0.8035
Se1 Se 0.0112 0.9882 0.7265
Se2 Se 0.3827 0.4983 0.2013
Br1 Br 0.3803 0.4788 0.5410
O1 O 0.0358 0.6867 0.0442
O2 O 0.0586 0.7695 0.6263
O3 O 0.0768 0.2505 0.6704
O4 O 0.1748 0.0744 0.2345
O5 O 0.1816 0.9172 0.8718
O6 O 0.3267 0.2886 0.0651
O7 O 0.3823 0.7749 0.1172
O8 O 0.4076 0.9444 0.7326
```

Output
Magnetic moment, μB/atom: 0.00
E, eV/atom: -6.0719